(1)
Compound: RbOsNF2
Source: the Alexandria database
Functional: PBE
Structure: relaxed

```
RbOsNF2
1.0
5.130 0.000 0.000
0.000 5.130 0.000
0.000 0.000 5.227
N Os Rb F
1 1 1 2
direct
0.000 0.000 0.500 N
0.500 0.500 0.500 Os
0.000 0.000 0.000 Rb
0.000 0.500 0.000 F
0.500 0.000 0.000 F
```

Calculated values
uncorrected formation energy: 32.6 kcal/mol of atoms
space-group type: P4/mmm, No. 123
calculated volume: 137.6 Å³/f.u.
D(E_F): 4.8 states/eV/f.u.
final energy: -3.4380 eV/atom

***

(2)
Compound: DyHoZr
Source: the Alexandria database
Functional: PBE
Structure: relaxed

```
DyHoZr
1.0
-2.402 1.300 4.193
2.532 -1.193 1.820
3.162 9.556 -1.151
Dy Ho Zr
2 2 2
direct
0.347 0.047 0.507 Dy
0.847 0.943 0.316 Dy
0.347 0.363 0.153 Ho
0.847 0.626 0.671 Ho
0.847 0.781 0.986 Zr
0.347 0.209 0.838 Zr
```

Calculated values
formation enthalpy at 0 K: 0.128 eV per atom
space-group type: P2_1/m, No. 11
calculated volume: 83.5 Å³/f.u.
D(E_F): 4.2 states/eV/f.u.
final energy: -5.7810 eV/atom

***

(3)
Compound: CeSmGe4
Source: the Alexandria database
Functional: PBE
Structure: relaxed

```
CeSmGe4
1.0
-4.368 3.013 1.939
-4.906 -0.013 -2.801
-4.496 -2.630 2.189
Ge Ce Sm
4 1 1
direct
0.626 0.626 0.123 Ge
0.626 0.123 0.626 Ge
0.626 0.626 0.626 Ge
0.123 0.626 0.626 Ge
0.250 0.250 0.250 Ce
0.000 0.000 0.000 Sm
```

Calculated values
formation enthalpy at 0 K: -0.370 eV per atom
space-group type: F-43m, No. 216
calculated volume: 127.5 Å³/f.u.
D(E_F): 8.8 states/eV/f.u.
final energy: -5.2233 eV/atom

***

(4)
Compound: PmEu2Lu
Source: the Alexandria database
Functional: PBE
Structure: relaxed

```
PmEu2Lu
1.0
3.650 0.000 0.000
0.000 3.650 0.000
0.000 0.000 10.629
Eu Lu Pm
2 1 1
direct
0.000 0.000 0.757 Eu
0.000 0.000 0.243 Eu
0.500 0.500 0.000 Lu
0.500 0.500 0.500 Pm
```

Calculated values
formation enthalpy at 0 K: 0.116 eV per atom
space-group type: P4/mmm, No. 123
calculated volume: 141.6 Å³/f.u.
D(E_F): 4.3 states/eV/f.u.
final energy: -7.3390 eV/atom

***

(5)
Compound: AcSb3Pd
Source: the Alexandria database
Functional: PBE
Structure: relaxed

```
AcSb3Pd
1.0
6.354 0.000 0.000
0.000 6.403 0.000
0.000 0.000 13.635
Ac Sb Pd
4 12 4
direct
0.750 0.504 0.694 Ac
0.250 0.496 0.306 Ac
0.750 0.004 0.306 Ac
0.250 0.996 0.694 Ac
0.000 0.250 0.499 Sb
0.500 0.750 0.501 Sb
0.000 0.750 0.501 Sb
0.500 0.250 0.499 Sb
0.250 0.114 0.943 Sb
0.750 0.886 0.057 Sb
0.250 0.614 0.057 Sb
0.750 0.386 0.943 Sb
0.250 0.490 0.787 Sb
0.750 0.510 0.213 Sb
0.250 0.990 0.213 Sb
0.750 0.010 0.787 Sb
0.500 0.250 0.092 Pd
0.000 0.750 0.908 Pd
0.500 0.750 0.908 Pd
0.000 0.250 0.092 Pd
```

Calculated values
uncorrected formation energy: -15.5 kcal/mol of atoms
space-group type: Pbcm, No. 57
calculated volume: 138.7 Å³/f.u.
D(E_F): 2.4 states/eV/f.u.
final energy: -5.0061 eV/atom

***

(6)
Compound: Ac2PmPrO6
Source: the Alexandria database
Functional: PBE
Structure: relaxed

```
Ac2PmPrO6
1.0
6.169 0.000 -0.014
0.000 6.379 0.000
0.035 0.000 8.992
Ac Pm Pr O
4 2 2 12
direct
0.017 0.952 0.249 Ac
0.517 0.548 0.749 Ac
0.983 0.048 0.751 Ac
0.483 0.452 0.251 Ac
0.500 0.000 0.000 Pm
0.000 0.500 0.500 Pm
0.500 0.000 0.500 Pr
0.000 0.500 0.000 Pr
0.310 0.696 0.075 O
0.810 0.804 0.575 O
0.690 0.304 0.925 O
0.190 0.196 0.425 O
0.305 0.692 0.427 O
0.805 0.808 0.927 O
0.695 0.308 0.573 O
0.195 0.192 0.073 O
0.864 0.568 0.253 O
0.364 0.932 0.753 O
0.136 0.432 0.747 O
0.636 0.068 0.247 O
```

Calculated values
uncorrected formation energy: -76.0 kcal/mol of atoms
space-group type: P2_1/c, No. 14
calculated volume: 176.9 Å³/f.u.
D(E_F): 0.0 states/eV/f.u.
final energy: -8.0442 eV/atom

***

(7)
Compound: TcNiTeI2
Source: the Alexandria database
Functional: PBE
Structure: relaxed

```
TcNiTeI2
1.0
5.184 0.000 0.000
0.000 5.184 0.000
0.000 0.000 5.276
I Ni Te Tc
2 1 1 1
direct
0.000 0.500 0.000 I
0.500 0.000 0.000 I
0.000 0.000 0.000 Ni
0.000 0.000 0.500 Te
0.500 0.500 0.500 Tc
```

Calculated values
uncorrected formation energy: 21.4 kcal/mol of atoms
space-group type: P4/mmm, No. 123
calculated volume: 141.8 Å³/f.u.
D(E_F): 4.1 states/eV/f.u.
final energy: -3.5497 eV/atom

***

(8)
Compound: CsAs3H
Source: the Alexandria database
Functional: PBE
Structure: relaxed

```
CsAs3H
1.0
4.748 0.000 0.000
0.000 4.748 0.000
0.000 0.000 4.748
Cs H As
1 1 3
direct
0.500 0.500 0.500 Cs
0.000 0.000 0.000 H
0.000 0.500 0.000 As
0.000 0.000 0.500 As
0.500 0.000 0.000 As
```

Calculated values
space-group type: Pm-3m, No. 221
calculated volume: 107.0 Å³/f.u.
D(E_F): 2.2 states/eV/f.u.
final energy: -3.0073 eV/atom

***

(9)
Compound: WAuBr
Source: the Alexandria database
Functional: PBE
Structure: relaxed

```
WAuBr
1.0
4.619 0.000 0.000
-2.309 4.000 0.000
0.000 0.000 2.957
Au Br W
1 1 1
direct
0.000 0.000 0.000 Au
0.333 0.667 0.500 Br
0.667 0.333 0.500 W
```

Calculated values
uncorrected formation energy: 23.4 kcal/mol of atoms
space-group type: P-6m2, No. 187
calculated volume: 54.6 Å³/f.u.
D(E_F): 2.7 states/eV/f.u.
final energy: -4.9546 eV/atom

***

(10)
Compound: SiHg2Os2
Source: the Alexandria database
Functional: PBE
Structure: relaxed

```
SiHg2Os2
1.0
3.504 0.000 0.000
0.000 3.504 0.000
1.752 1.752 8.317
Si Os Hg
1 2 2
direct
0.000 0.000 0.000 Si
0.750 0.250 0.500 Os
0.250 0.750 0.500 Os
0.397 0.397 0.205 Hg
0.603 0.603 0.795 Hg
```

Calculated values
uncorrected formation energy: 24.3 kcal/mol of atoms
space-group type: I4/mmm, No. 139
calculated volume: 102.1 Å³/f.u.
D(E_F): 3.9 states/eV/f.u.
final energy: -4.6416 eV/atom

***

(11)
Compound: Ni3Bi2Te2
Source: the Alexandria database
Functional: PBE
Structure: relaxed

```
Ni3Bi2Te2
1.0
3.844 -0.003 0.004
-1.915 6.878 0.077
0.006 -0.940 5.671
Ni Bi Te
3 2 2
direct
0.000 0.000 0.000 Ni
0.753 0.509 0.149 Ni
0.247 0.491 0.851 Ni
0.844 0.686 0.645 Bi
0.156 0.314 0.355 Bi
0.600 0.198 0.830 Te
0.400 0.802 0.170 Te
```

Calculated values
uncorrected formation energy: -1.5 kcal/mol of atoms
space-group type: P-1, No. 2
calculated volume: 150.2 Å³/f.u.
D(E_F): 3.4 states/eV/f.u.
final energy: -4.5476 eV/atom

***

(12)
Compound: BeZn2Cl
Source: the Alexandria database
Functional: PBE
Structure: relaxed

```
BeZn2Cl
1.0
2.811 0.000 0.000
0.000 4.295 0.000
0.000 0.000 5.545
Be Zn Cl
1 2 1
direct
0.500 0.000 0.500 Be
0.000 0.000 0.000 Zn
0.500 0.500 0.000 Zn
0.000 0.500 0.500 Cl
```

Calculated values
uncorrected formation energy: 8.5 kcal/mol of atoms
space-group type: Pmmm, No. 47
calculated volume: 66.9 Å³/f.u.
D(E_F): 1.3 states/eV/f.u.
final energy: -1.6616 eV/atom